Entry from Alexandria: a relaxed structure of EuIn2Ga (GGA-PBE).

Unit cell a=4.7211 b=4.7211 c=17.1986 alpha=90.00 beta=90.00 gamma=120.00
Space group R-3m (No. 166, hexagonal axes)
Asymmetric unit:
Eu 0.0000 0.0000 0.0000 [3 per cell]
In 0.0000 0.0000 0.2242 [6 per cell]
Ga 0.0000 0.0000 0.5000 [3 per cell]

Results
* energy relative to the lowest polymorph listed for this composition: 0.0967 eV per atom
* formation energy from the elements: -262 meV per atom
* ρ: 6.77 g/cm³

Entry from Alexandria: a relaxed structure of EuInGa4 (GGA-PBE).

Unit cell a=8.0848 b=8.0848 c=8.0848 alpha=90.00 beta=90.00 gamma=90.00
Space group F-43m (No. 216)
Asymmetric unit:
Eu 0.0000 0.0000 0.0000 [4 per cell]
In 0.2500 0.2500 0.7500 [4 per cell]
Ga 0.1252 0.1252 0.3748 [16 per cell]

Results
* formation energy from the elements: -226 meV per atom
* ρ: 6.86 g/cm³